{
  "formula": "Cs3TaMo",
  "functional": "PBE-GGA",
  "state": "relaxed",
  "energy_ev_per_fu": -12.63,
  "dos_at_fermi_per_ev_fu": 20.7,
  "de_polymorph_mev_per_atom": 0,
  "formation_energy_ev_per_atom": 2.522,
  "lattice": [[6.071, 0.000, 0.000], [0.000, 6.071, 0.000], [0.000, 0.000, 6.071]],
  "species": ["Cs", "Cs", "Cs", "Ta", "Mo"],
  "fractional_positions": [[0.500, 0.000, 0.000], [0.000, 0.500, 0.000], [0.000, 0.000, 0.500], [0.500, 0.500, 0.500], [0.000, 0.000, 0.000]]
}